[1]
Below is an optimized crystal structure of CsGeAu2, with properties calculated at the PBE level.

Calculated values
The space group is Pnma. The calculation puts the density at 8.017 g/cm3. For the formation energy, the calculation gives -0.280 eV per atom.

Unit cell a=8.6043 b=4.7111 c=12.2526 alpha=90.00 beta=90.00 gamma=90.00
Last column: nearest neighbours and their distance in Å.
Fractional positions:
1 Cs 0.1417 0.2500 0.1116  5 Au 3.55-3.69, 3 Ge 3.84-3.96
2 Cs 0.3583 0.7500 0.6116  5 Au 3.55-3.69, 3 Ge 3.84-3.96
3 Cs 0.6417 0.2500 0.3884  5 Au 3.55-3.69, 3 Ge 3.84-3.96
4 Cs 0.8583 0.7500 0.8884  5 Au 3.55-3.69, 3 Ge 3.84-3.96
5 Ge 0.0787 0.7500 0.3554  5 Au 2.54-2.74
6 Ge 0.4213 0.2500 0.8554  5 Au 2.54-2.74
7 Ge 0.5787 0.7500 0.1446  5 Au 2.54-2.74
8 Ge 0.9213 0.2500 0.6446  5 Au 2.54-2.74
9 Au 0.0477 0.2500 0.4397  3 Ge 2.59-2.74
10 Au 0.1476 0.2500 0.7777  2 Ge 2.54
11 Au 0.3524 0.7500 0.2777  2 Ge 2.54
12 Au 0.4523 0.7500 0.9397  3 Ge 2.59-2.74
13 Au 0.5477 0.2500 0.0603  3 Ge 2.59-2.74
14 Au 0.6476 0.2500 0.7223  2 Ge 2.54
15 Au 0.8524 0.7500 0.2223  2 Ge 2.54
16 Au 0.9523 0.7500 0.5603  3 Ge 2.59-2.74



[2]
Below is an optimized crystal structure of CsGe3Au, with properties calculated at the PBE level.

Calculated values
The space group is Pm-3m. The calculation puts the density at 6.059 g/cm3. For the formation energy, the calculation gives 0.495 eV per atom.

Unit cell a=5.3149 b=5.3149 c=5.3149 alpha=90.00 beta=90.00 gamma=90.00
Last column: nearest neighbours and their distance in Å.
Fractional positions:
1 Cs 0.0000 0.0000 0.0000  12 Ge 3.76
2 Ge 0.0000 0.5000 0.5000  2 Au 2.66
3 Ge 0.5000 0.0000 0.5000  2 Au 2.66
4 Ge 0.5000 0.5000 0.0000  2 Au 2.66
5 Au 0.5000 0.5000 0.5000  6 Ge 2.66



[3]
Below is an optimized crystal structure of Cs2GeAu, with properties calculated at the PBE level.

Calculated values
The space group is I-42d. The calculation puts the density at 3.887 g/cm3. For the formation energy, the calculation gives -0.113 eV per atom.

Unit cell a=10.0364 b=10.0364 c=10.0364 alpha=93.31 beta=93.31 gamma=152.21
Last column: nearest neighbours and their distance in Å.
Fractional positions:
1 Cs 0.3750 0.1907 0.3157  2 Au 3.61, 2 Ge 3.99
2 Cs 0.8093 0.1250 0.1843  2 Au 3.61, 2 Ge 3.99
3 Cs 0.8750 0.0593 0.6843  2 Au 3.61, 2 Ge 3.99
4 Cs 0.9407 0.6250 0.8157  2 Au 3.61, 2 Ge 3.99
5 Ge 0.2500 0.7500 0.5000  2 Au 2.41
6 Ge 0.5000 0.5000 0.0000  2 Au 2.41
7 Au 0.0000 0.0000 0.0000  2 Ge 2.41
8 Au 0.7500 0.2500 0.5000  2 Ge 2.41



[4]
Below is an optimized crystal structure of Cs2GeAu2, with properties calculated at the PBE level.

Calculated values
The space group is C2/m. The calculation puts the density at 5.533 g/cm3. For the formation energy, the calculation gives -0.174 eV per atom.

Unit cell a=8.1554 b=8.1554 c=11.1299 alpha=124.95 beta=124.95 gamma=50.02
Last column: nearest neighbours and their distance in Å.
Fractional positions:
1 Cs 0.1123 0.1123 0.3985  3 Au 3.53-3.63
2 Cs 0.3244 0.3244 0.9547  3 Au 3.65-3.85, 1 Ge 3.85
3 Cs 0.6756 0.6756 0.0453  3 Au 3.65-3.85, 1 Ge 3.85
4 Cs 0.8877 0.8877 0.6015  3 Au 3.53-3.63
5 Ge 0.3305 0.3305 0.3060  3 Au 2.50-2.52
6 Ge 0.6695 0.6695 0.6940  3 Au 2.50-2.52
7 Au 0.1162 0.1162 0.0848  1 Ge 2.50, 1 Au 2.68
8 Au 0.4629 0.4629 0.5985  2 Ge 2.52
9 Au 0.5371 0.5371 0.4015  2 Ge 2.52
10 Au 0.8838 0.8838 0.9152  1 Ge 2.50, 1 Au 2.68



[5]
Below is an optimized crystal structure of CsGeAu2, with properties calculated at the PBE level.

Calculated values
The space group is Fm-3m. The calculation puts the density at 8.994 g/cm3. For the formation energy, the calculation gives 0.426 eV per atom.

Unit cell a=5.3892 b=5.3892 c=5.3892 alpha=60.00 beta=60.00 gamma=60.00
Last column: nearest neighbours and their distance in Å.
Fractional positions:
1 Cs 0.0000 0.0000 0.0000  8 Au 3.30
2 Ge 0.5000 0.5000 0.5000  8 Au 3.30
3 Au 0.2500 0.2500 0.2500  4 Ge 3.30, 4 Cs 3.30
4 Au 0.7500 0.7500 0.7500  4 Cs 3.30, 4 Ge 3.30



[6]
Below is an optimized crystal structure of CsGeAu3, with properties calculated at the PBE level.

Calculated values
The space group is Pm-3m. The calculation puts the density at 9.566 g/cm3. For the formation energy, the calculation gives -0.117 eV per atom.

Unit cell a=5.1708 b=5.1708 c=5.1708 alpha=90.00 beta=90.00 gamma=90.00
Last column: nearest neighbours and their distance in Å.
Fractional positions:
1 Cs 0.0000 0.0000 0.0000  12 Au 3.66
2 Ge 0.5000 0.5000 0.5000  6 Au 2.59
3 Au 0.0000 0.5000 0.5000  2 Ge 2.59
4 Au 0.5000 0.0000 0.5000  2 Ge 2.59
5 Au 0.5000 0.5000 0.0000  2 Ge 2.59



[7]
Below is an optimized crystal structure of Cs2Ge7Au12, with properties calculated at the PBE level.

Calculated values
The space group is P-1. The calculation puts the density at 10.164 g/cm3. For the formation energy, the calculation gives -0.059 eV per atom.

Unit cell a=6.8232 b=9.1796 c=9.5717 alpha=62.94 beta=87.65 gamma=74.65
Last column: nearest neighbours and their distance in Å.
Fractional positions:
1 Cs 0.1839 0.3589 0.3272  12 Au 3.71-4.11, 5 Ge 3.81-4.05
2 Cs 0.8161 0.6411 0.6728  12 Au 3.71-4.11, 5 Ge 3.81-4.05
3 Ge 0.1330 0.9608 0.3163  6 Au 2.61-2.71
4 Ge 0.2184 0.7214 0.9117  5 Au 2.57-2.73
5 Ge 0.3637 0.3364 0.7152  5 Au 2.56-2.79
6 Ge 0.5000 0.0000 0.0000  6 Au 2.65-2.80
7 Ge 0.6363 0.6636 0.2848  5 Au 2.56-2.79
8 Ge 0.7816 0.2786 0.0883  5 Au 2.57-2.73
9 Ge 0.8670 0.0392 0.6837  6 Au 2.61-2.71
10 Au 0.1620 0.1993 0.0354  3 Ge 2.60-2.65, 1 Au 2.87
11 Au 0.1865 0.1007 0.7684  3 Ge 2.59-2.80
12 Au 0.2189 0.8796 0.6107  3 Ge 2.57-2.71, 1 Au 2.83
13 Au 0.2377 0.7998 0.1403  4 Ge 2.61-2.79
14 Au 0.3454 0.6431 0.4900  3 Ge 2.63-2.72, 2 Au 2.83
15 Au 0.4066 0.4339 0.9213  3 Ge 2.56-2.73, 2 Au 2.83-2.87
16 Au 0.5934 0.5661 0.0787  3 Ge 2.56-2.73, 2 Au 2.83-2.87
17 Au 0.6546 0.3569 0.5100  3 Ge 2.63-2.72, 2 Au 2.83
18 Au 0.7623 0.2002 0.8597  4 Ge 2.61-2.79
19 Au 0.7811 0.1204 0.3893  3 Ge 2.57-2.71, 1 Au 2.83
20 Au 0.8135 0.8993 0.2316  3 Ge 2.59-2.80
21 Au 0.8380 0.8007 0.9646  3 Ge 2.60-2.65, 1 Au 2.87



[8]
Below is an optimized crystal structure of Cs2GeAu3, with properties calculated at the PBE level.

Calculated values
The space group is C2/c. The calculation puts the density at 6.635 g/cm3. For the formation energy, the calculation gives -0.127 eV per atom.

Unit cell a=7.7630 b=7.7630 c=8.3466 alpha=99.93 beta=99.93 gamma=71.15
Last column: nearest neighbours and their distance in Å.
Fractional positions:
1 Cs 0.0079 0.6670 0.8284  5 Au 3.64-3.92
2 Cs 0.3330 0.9921 0.6716  5 Au 3.64-3.92
3 Cs 0.6670 0.0079 0.3284  5 Au 3.64-3.92
4 Cs 0.9921 0.3330 0.1716  5 Au 3.64-3.92
5 Ge 0.4326 0.5674 0.2500  5 Au 2.55-2.70
6 Ge 0.5674 0.4326 0.7500  5 Au 2.55-2.70
7 Au 0.1498 0.8502 0.2500  1 Ge 2.55
8 Au 0.3183 0.4670 0.4975  2 Ge 2.59-2.70
9 Au 0.4670 0.3183 0.9975  2 Ge 2.59-2.70
10 Au 0.5330 0.6817 0.0025  2 Ge 2.59-2.70
11 Au 0.6817 0.5330 0.5025  2 Ge 2.59-2.70
12 Au 0.8502 0.1498 0.7500  1 Ge 2.55